No. 1
# TbHo5In2, optimized geometry, DFT GGA-PBE
# - E_form: -0.170 eV/atom
# - VASP energy: -68.71 eV for the cell shown
# - Density: 8.56 g/cm3
data_TbHo5In2
_chemical_formula_sum 'Tb2 Ho10 In4'
_space_group_name_H-M_alt 'I m m m'
_space_group_IT_number 71
_space_group_name_Hall '-I 2 2'
_cell_length_a 3.543
_cell_length_b 10.482
_cell_length_c 12.671
_cell_angle_alpha 90.00
_cell_angle_beta 90.00
_cell_angle_gamma 90.00
loop_
_atom_site_label
_atom_site_fract_x
_atom_site_fract_y
_atom_site_fract_z
Tb1 0.000 0.000 0.000
Ho1 0.000 0.228 0.366
Ho2 0.000 0.500 0.000
In1 0.000 0.500 0.260

No. 2
# Tl3BPd, optimized geometry, DFT GGA-PBE
# - E_form: 0.724 eV/atom
# - VASP energy: -15.35 eV for the cell shown
# - Density: 10.38 g/cm3
data_Tl3BPd
_chemical_formula_sum 'Tl3 B1 Pd1'
_space_group_name_H-M_alt 'P m -3 m'
_space_group_IT_number 221
_space_group_name_Hall '-P 4 2 3'
_cell_length_a 4.889
_cell_length_b 4.889
_cell_length_c 4.889
_cell_angle_alpha 90.00
_cell_angle_beta 90.00
_cell_angle_gamma 90.00
loop_
_atom_site_label
_atom_site_fract_x
_atom_site_fract_y
_atom_site_fract_z
Tl1 0.000 0.000 0.500
B1 0.000 0.000 0.000
Pd1 0.500 0.500 0.500

No. 3
# CuAsOsSe2, optimized geometry, DFT GGA-PBE
# - Raw formation energy: 903 meV per atom
# - VASP energy: -22.43 eV for the cell shown
# - Density: 6.89 g/cm3
data_CuAsOsSe2
_chemical_formula_sum 'Cu1 As1 Os1 Se2'
_space_group_name_H-M_alt 'P 4/m m m'
_space_group_IT_number 123
_space_group_name_Hall '-P 4 2'
_cell_length_a 5.024
_cell_length_b 5.024
_cell_length_c 4.648
_cell_angle_alpha 90.00
_cell_angle_beta 90.00
_cell_angle_gamma 90.00
loop_
_atom_site_label
_atom_site_fract_x
_atom_site_fract_y
_atom_site_fract_z
Cu1 0.000 0.000 0.000
As1 0.500 0.500 0.000
Os1 0.500 0.500 0.500
Se1 0.000 0.500 0.500

No. 4
# BaMnTe2, optimized geometry, DFT GGA-PBE
# - Raw formation energy: -766 meV per atom
# - VASP energy: -20.44 eV for the cell shown
# - Density: 5.22 g/cm3
data_BaMnTe2
_chemical_formula_sum 'Ba1 Mn1 Te2'
_space_group_name_H-M_alt 'P 4/m m m'
_space_group_IT_number 123
_space_group_name_Hall '-P 4 2'
_cell_length_a 5.568
_cell_length_b 5.568
_cell_length_c 4.593
_cell_angle_alpha 90.00
_cell_angle_beta 90.00
_cell_angle_gamma 90.00
loop_
_atom_site_label
_atom_site_fract_x
_atom_site_fract_y
_atom_site_fract_z
Ba1 0.000 0.000 0.000
Mn1 0.500 0.500 0.500
Te1 0.000 0.500 0.500

No. 5
# Cd2Rh, optimized geometry, DFT GGA-PBE
# - E_form: -0.074 eV/atom
# - VASP energy: -28.21 eV for the cell shown
# - Density: 9.82 g/cm3
data_Cd2Rh
_chemical_formula_sum 'Cd6 Rh3'
_space_group_name_H-M_alt 'P -6 2 m'
_space_group_IT_number 189
_space_group_name_Hall 'P -6 -2'
_cell_length_a 7.8252
_cell_length_b 7.8252
_cell_length_c 3.1350
_cell_angle_alpha 90.00
_cell_angle_beta 90.00
_cell_angle_gamma 120.00
loop_
_atom_site_label
_atom_site_fract_x
_atom_site_fract_y
_atom_site_fract_z
Cd1 0.0000 0.2898 0.0000
Cd2 0.0000 0.6190 0.5000
Rh1 0.0000 0.0000 0.5000
Rh2 0.3333 0.6667 0.0000

No. 6
# Tm2Mg3Cd2, optimized geometry, DFT GGA-PBE
# - E_form: -0.170 eV/atom
# - VASP energy: -33.49 eV for the cell shown
# - Density: 6.27 g/cm3
data_Tm2Mg3Cd2
_chemical_formula_sum 'Tm4 Mg6 Cd4'
_space_group_name_H-M_alt 'C 1 2/m 1'
_space_group_IT_number 12
_cell_length_a 8.870
_cell_length_b 5.112
_cell_length_c 7.985
_cell_angle_alpha 90.00
_cell_angle_beta 111.66
_cell_angle_gamma 90.00
loop_
_space_group_symop_operation_xyz
'x,y,z'
'-x,-y,-z'
'-x,y,-z'
'x,-y,z'
'x+1/2,y+1/2,z'
'-x+1/2,-y+1/2,-z'
'-x+1/2,y+1/2,-z'
'x+1/2,-y+1/2,z'
loop_
_atom_site_label
_atom_site_fract_x
_atom_site_fract_y
_atom_site_fract_z
Tm1 0.079 0.000 0.234
Mg1 0.000 0.500 0.500
Mg2 0.151 0.500 0.954
Cd1 0.215 0.000 0.647